No. 1
! Pa2TcW | the Alexandria database | PBE | optimized geometry; values from VASP
&SYSTEM
  ibrav = 0, nat = 4, ntyp = 3
/
ATOMIC_SPECIES
Pa 231.04 Pa.upf
Tc 98.00 Tc.upf
W 183.84 W.upf
CELL_PARAMETERS angstrom
-2.1326 1.3028 4.2178
1.0952 -2.3865 4.1401
2.6272 2.2249 3.4903
ATOMIC_POSITIONS angstrom
Pa 0.3975 0.2853 2.9621
Pa 1.1924 0.8559 8.8862
Tc 0.0000 0.0000 0.0000
W 0.7949 0.5706 5.9241
! **SG**: Fm-3m, No. 225
! **Energy above the lowest structure with this stoichiometry**: 0.000 eV/atom
! **V**: 83.3 Å³/cell

=====

No. 2
! NaSrNd2Se4 | the Alexandria database | PBE | optimized geometry; values from VASP
&SYSTEM
  ibrav = 0, nat = 8, ntyp = 4
/
ATOMIC_SPECIES
Nd 144.24 Nd.upf
Na 22.99 Na.upf
Sr 87.62 Sr.upf
Se 78.96 Se.upf
CELL_PARAMETERS angstrom
-0.2411 -4.1279 1.0850
7.5597 -0.4043 0.1417
2.3624 1.6451 6.7836
ATOMIC_POSITIONS angstrom
Nd 1.0606 -1.2414 3.9343
Nd 2.3624 1.6451 6.7836
Na 4.9610 0.6204 3.4627
Sr 6.0217 -0.6209 7.3970
Se 7.4963 0.9177 5.1568
Se 3.4640 -0.9228 5.6804
Se 6.2170 -1.9643 2.3300
Se 2.1847 -3.8047 2.8535
! **SG**: P2/m, No. 10
! **ΔE_f (raw)**: -41.755 kcal/mol of atoms
! **V**: 225.6 Å³/cell

=====

No. 3
! AlPd8Au2 | the Alexandria database | PBE | optimized geometry; values from VASP
&SYSTEM
  ibrav = 0, nat = 11, ntyp = 3
/
ATOMIC_SPECIES
Pd 106.42 Pd.upf
Al 26.98 Al.upf
Au 196.97 Au.upf
CELL_PARAMETERS angstrom
-0.0076 3.3833 -2.1380
-6.2570 -0.3761 -0.5730
1.2029 2.0612 7.0034
ATOMIC_POSITIONS angstrom
Pd -0.6043 5.0179 4.1968
Pd -4.4574 0.0504 0.0956
Pd -2.5103 2.8874 4.5782
Pd -4.3102 4.1467 2.8313
Pd -0.7515 0.9216 1.4611
Pd -2.5514 2.1809 -0.2858
Pd 0.2031 2.3945 3.7885
Pd -5.2648 2.6738 0.5039
Al -0.0038 1.6917 -1.0690
Au -1.6056 3.6182 1.9853
Au -3.4562 1.4502 2.3071
! **SG**: C2/m, No. 12
! **V**: 172.5 Å³/cell
! **Energy**: -4.9839 eV per atom

=====

No. 4
! Er4TmSc5 | the Alexandria database | PBE | optimized geometry; values from VASP
&SYSTEM
  ibrav = 0, nat = 10, ntyp = 3
/
ATOMIC_SPECIES
Sc 44.96 Sc.upf
Er 167.26 Er.upf
Tm 168.93 Tm.upf
CELL_PARAMETERS angstrom
-1.3140 0.7969 5.8188
-4.9305 -4.9421 2.6757
4.4756 -3.7844 4.6413
ATOMIC_POSITIONS angstrom
Sc 1.2151 -4.6597 9.9168
Sc -1.9294 -6.7686 6.3831
Sc -2.8435 -3.3552 2.5969
Sc 0.3010 -1.2464 6.1305
Sc -0.9078 0.5505 4.0199
Er 0.1463 -2.8366 3.2334
Er 0.7114 -4.2719 6.6699
Er -1.7884 -5.1701 9.3408
Er -2.3535 -3.7348 5.9043
Tm -0.2975 0.1804 1.3173
! **SG**: I4, No. 79
! **Energy above the lowest structure with this stoichiometry**: 0.227 eV/atom
! **V**: 281.9 Å³/cell

=====

No. 5
! VCdW2 | the Alexandria database | PBE | optimized geometry; values from VASP
&SYSTEM
  ibrav = 0, nat = 8, ntyp = 3
/
ATOMIC_SPECIES
W 183.84 W.upf
Cd 112.41 Cd.upf
V 50.94 V.upf
CELL_PARAMETERS angstrom
-3.6548 -0.1448 -1.1208
1.0164 -2.0798 -3.0457
-2.5868 -9.3424 3.1138
ATOMIC_POSITIONS angstrom
W -2.7381 -2.6835 -0.2826
W -4.2670 -8.9159 -1.2555
W -2.9112 -7.8784 0.7181
W -0.5341 -3.6562 -1.2854
Cd 0.0000 0.0000 0.0000
Cd -3.7804 -5.2998 -0.0451
V -1.4448 -6.2672 -1.0076
V -1.3192 -1.1123 -2.0832
! **SG**: I-42d, No. 122
! **V**: 143.7 Å³/cell
! **Energy**: -7.9533 eV per atom

=====

No. 6
! NaZnSn2 | the Alexandria database | PBE | optimized geometry; values from VASP
&SYSTEM
  ibrav = 0, nat = 4, ntyp = 3
/
ATOMIC_SPECIES
Na 22.99 Na.upf
Sn 118.71 Sn.upf
Zn 65.41 Zn.upf
CELL_PARAMETERS angstrom
-0.1452 3.8819 -1.8319
-0.9818 0.3740 -4.1644
-8.5938 2.0524 -0.0043
ATOMIC_POSITIONS angstrom
Na 0.0000 0.0000 0.0000
Sn -5.6255 1.8235 -0.7247
Sn -4.0954 4.4848 -5.2759
Zn -4.8604 3.1542 -3.0003
! **SG**: R-3m, No. 166
! **V**: 135.5 Å³/cell
! **Energy**: -2.5177 eV per atom

=====

No. 7
! LaDy8Y3 | the Alexandria database | PBE | optimized geometry; values from VASP
&SYSTEM
  ibrav = 0, nat = 12, ntyp = 3
/
ATOMIC_SPECIES
Dy 162.50 Dy.upf
Y 88.91 Y.upf
La 138.91 La.upf
CELL_PARAMETERS angstrom
8.2855 -1.3362 -2.2031
-5.9702 6.1575 -1.3159
1.2559 1.3362 8.4809
ATOMIC_POSITIONS angstrom
Dy 7.6526 1.1834 3.7988
Dy -4.0821 4.9753 1.1643
Dy 0.4499 1.8801 2.8726
Dy 5.4697 0.5445 -1.4798
Dy -1.8982 5.6136 6.4413
Dy 3.0249 1.1822 0.7524
Dy 3.1210 4.2768 2.0898
Dy 0.5471 4.9741 4.2084
Y -0.0607 4.3473 0.0923
Y 5.9284 2.4106 1.3794
Y 3.6319 1.8101 4.8696
La 9.5414 0.0000 6.2778
! **SG**: Immm, No. 71
! **V**: 416.4 Å³/cell
! **Energy**: -4.7837 eV per atom

=====

No. 8
! NpSc2Fe2 | the Alexandria database | PBE | optimized geometry; values from VASP
&SYSTEM
  ibrav = 0, nat = 10, ntyp = 3
/
ATOMIC_SPECIES
Fe 55.84 Fe.upf
Sc 44.96 Sc.upf
Np 237.00 Np.upf
CELL_PARAMETERS angstrom
-2.6888 -4.5536 0.3379
-0.7519 -2.1638 4.7782
-6.5976 2.6611 1.4457
ATOMIC_POSITIONS angstrom
Fe -9.4053 -2.4593 2.9772
Fe -4.6628 -2.0086 5.5640
Fe -0.6330 -1.5970 3.5846
Fe -5.3755 -2.0476 0.9978
Sc -7.5970 -1.8065 5.1196
Sc -5.2487 -0.3131 3.2915
Sc -2.4413 -2.2498 1.4423
Sc -4.7896 -3.7432 3.2704
Np -7.3610 -2.2172 2.0550
Np -2.6773 -1.8391 4.5069
! **SG**: C2/c, No. 15
! **V**: 175.7 Å³/cell
! **Energy**: -8.6192 eV per atom

=====

Question: The highest V belongs to which entry?
Answer: LaDy8Y3